A plane-wave DFT calculation with SCAN was carried out for a PBEsol-optimized structure of KCdRuI2.

a = 5.4226 Å, b = 5.4226 Å, c = 5.1768 Å
α = 90.00°, β = 90.00°, γ = 90.00°
Space group P4/mmm (No. 123)
Inequivalent atoms, fractional coordinates:
K  0.0000  0.0000  0.0000 x1
Cd  0.5000  0.5000  0.0000 x1
Ru  0.5000  0.5000  0.5000 x1
I  0.0000  0.5000  0.5000 x2

Properties
- calculated density (Mg/m³) = 5.52
- formation energy without anion corrections (meV per atom) = -162

A plane-wave DFT calculation with SCAN was carried out for a PBEsol-optimized structure of La3CdI.

a = 5.9047 Å, b = 5.9047 Å, c = 5.9047 Å
α = 90.00°, β = 90.00°, γ = 90.00°
Space group Pm-3m (No. 221)
Inequivalent atoms, fractional coordinates:
La  0.0000  0.0000  0.5000 x3
Cd  0.0000  0.0000  0.0000 x1
I  0.5000  0.5000  0.5000 x1

Properties
- calculated density (Mg/m³) = 5.29
- formation energy without anion corrections (meV per atom) = 4